1.
Material: Dy3Zn2SiNi9
Method: DFT, PBE
State: relaxed

Energy relative to the elements, uncorrected ... -0.0875 eV/atom
V ... 253 Å³ per cell

Cell and atoms, written as CIF:
```
data_Dy3Zn2SiNi9
_chemical_formula_sum 'Dy3 Zn2 Si1 Ni9'
_cell_length_a 5.9964
_cell_length_b 5.9964
_cell_length_c 8.1373
_cell_angle_alpha 90.00
_cell_angle_beta 90.00
_cell_angle_gamma 120.00
_space_group_name_H-M_alt 'P -3 m 1'
_space_group_IT_number 164
_space_group_name_Hall '-P 3 2"'
loop_
_atom_site_label
_atom_site_fract_x
_atom_site_fract_y
_atom_site_fract_z
_atom_site_occupancy
Dy1 0.0000 0.0000 0.0000 1
Dy2 0.3333 0.6667 0.6955 1
Zn1 0.3333 0.6667 0.1933 1
Si1 0.0000 0.0000 0.5000 1
Ni1 0.0000 0.5000 0.0000 1
Ni2 0.1336 0.2672 0.2887 1
```

***

2.
Material: KTiInCl6
Method: DFT, PBE
State: relaxed

Energy relative to the elements, uncorrected ... -1.4831 eV/atom
V ... 294 Å³ per cell

Cell and atoms, written as CIF:
```
data_KTiInCl6
_chemical_formula_sum 'K1 Ti1 In1 Cl6'
_cell_length_a 7.3433
_cell_length_b 7.3433
_cell_length_c 6.2884
_cell_angle_alpha 90.00
_cell_angle_beta 90.00
_cell_angle_gamma 120.00
_space_group_name_H-M_alt 'P 3 1 2'
_space_group_IT_number 149
_space_group_name_Hall 'P 3 2'
loop_
_atom_site_label
_atom_site_fract_x
_atom_site_fract_y
_atom_site_fract_z
_atom_site_occupancy
K1 0.0000 0.0000 0.0000 1
Ti1 0.3333 0.6667 0.0000 1
In1 0.6667 0.3333 0.5000 1
Cl1 0.0685 0.4064 0.2193 1
```